No. 1
The following is a PBEsol calculation of NiGe2SbS after structural relaxation, from Alexandria via LeMat-Bulk.

```
NiGe2SbS
1.0
4.1596 0.0000 0.0000
0.0000 4.7926 0.0000
0.0000 0.0000 4.7926
S Ge Ni Sb
1 2 1 1
Direct
0.5000 0.0000 0.0000
0.0000 0.5000 0.0000
0.0000 0.0000 0.5000
0.0000 0.0000 0.0000
0.5000 0.5000 0.5000
```

Calculated values
Symmetry: P4/mmm (123)
Raw formation energy: 189 meV per atom



No. 2
The following is a PBEsol calculation of ScNiGe2 after structural relaxation, from Alexandria via LeMat-Bulk.

```
ScNiGe2
1.0
4.4211 0.0000 0.0000
2.2105 3.8288 0.0000
2.2105 1.2763 3.6098
Sc Ge Ni
1 2 1
Direct
0.0000 0.0000 0.0000
0.7500 0.7500 0.7500
0.2500 0.2500 0.2500
0.5000 0.5000 0.5000
```

Calculated values
Calculated formation energy: -0.306 eV per atom
Symmetry: Fm-3m (225)



No. 3
The following is a PBEsol calculation of Sc6Ni16Ge7 after structural relaxation, from Alexandria via LeMat-Bulk.

```
Sc6Ni16Ge7
1.0
8.1232 0.0000 0.0000
4.0616 7.0349 0.0000
4.0616 2.3450 6.6325
Ni Sc Ge
16 6 7
Direct
0.8592 0.3803 0.3803
0.1693 0.4921 0.1693
0.3803 0.3803 0.8592
0.5079 0.8307 0.8307
0.6197 0.6197 0.1408
0.4921 0.1693 0.1693
0.3803 0.8592 0.3803
0.8307 0.8307 0.5079
0.1693 0.1693 0.4921
0.1408 0.6197 0.6197
0.8307 0.5079 0.8307
0.6197 0.6197 0.6197
0.6197 0.1408 0.6197
0.1693 0.1693 0.1693
0.3803 0.3803 0.3803
0.8307 0.8307 0.8307
0.7903 0.7903 0.2097
0.7903 0.2097 0.7903
0.7903 0.2097 0.2097
0.2097 0.7903 0.2097
0.2097 0.7903 0.7903
0.2097 0.2097 0.7903
0.0000 0.5000 0.5000
0.5000 0.0000 0.5000
0.5000 0.0000 0.0000
0.5000 0.5000 0.5000
0.0000 0.5000 0.0000
0.5000 0.5000 0.0000
0.0000 0.0000 0.5000
```

Calculated values
Calculated formation energy: -0.657 eV per atom
Symmetry: Fm-3m (225)



No. 4
The following is a PBEsol calculation of Ni11Ge2Se4 after structural relaxation, from Alexandria via LeMat-Bulk.

```
Ni11Ge2Se4
1.0
3.5615 0.0000 0.0000
0.0000 3.5615 0.0000
0.0000 0.0000 17.9168
Ni Ge Se
11 2 4
Direct
0.5000 0.5000 0.9969
0.5000 0.0000 0.0938
0.5000 0.0000 0.4072
0.5000 0.0000 0.9000
0.0000 0.5000 0.4072
0.0000 0.5000 0.0938
0.0000 0.5000 0.6015
0.5000 0.0000 0.6015
0.0000 0.5000 0.9000
0.5000 0.5000 0.3011
0.0000 0.0000 0.5047
0.0000 0.0000 0.9965
0.5000 0.5000 0.5035
0.5000 0.5000 0.1754
0.0000 0.0000 0.3172
0.0000 0.0000 0.6837
0.5000 0.5000 0.8177
```

Calculated values
Symmetry: P4mm (99)
Raw formation energy: -323 meV per atom



Number 1: V 19.11 Å³/atom. Number 2: V 15.28 Å³/atom. Number 3: V 13.07 Å³/atom. Number 4: V 13.37 Å³/atom.